(1)
DFT (PBEsol) results for a relaxed structure of CaGaSeN2.

abc: 3.988 3.988 5.200
angles: 90.00 90.00 90.00
Space group P4/mmm (No. 123)
Symmetry-distinct sites (fractional):
Ca  0.000  0.000  0.000 (multiplicity 1)
Ga  0.500  0.500  0.500 (multiplicity 1)
Se  0.500  0.500  0.000 (multiplicity 1)
N  0.000  0.500  0.500 (multiplicity 2)

## Properties
- energy (eV/atom) = -5.019
- energy relative to the elements, uncorrected (meV per atom) = 257
- energy relative to the lowest polymorph listed for this composition (eV per atom) = 0.0000



(2)
DFT (PBEsol) results for a relaxed structure of SiAs2Au.

abc: 5.744 5.744 10.849
angles: 90.00 90.00 90.00
Space group I-42d (No. 122)
Symmetry-distinct sites (fractional):
Si  0.000  0.000  0.000 (multiplicity 4)
As  0.235  0.250  0.125 (multiplicity 8)
Au  0.000  0.000  0.500 (multiplicity 4)

## Properties
- energy (eV/atom) = -4.926
- energy relative to the elements, uncorrected (meV per atom) = 45



(3)
DFT (PBEsol) results for a relaxed structure of Mn2TlTc.

abc: 8.916 2.896 4.670
angles: 90.00 103.34 90.00
Space group Cm (No. 8)
Symmetry-distinct sites (fractional):
Mn  0.000  0.000  0.000 (multiplicity 2)
Mn  0.242  0.500  0.234 (multiplicity 2)
Tl  0.239  0.000  0.734 (multiplicity 2)
Tc  0.475  0.000  0.418 (multiplicity 2)

## Properties
- energy (eV/atom) = -7.812



(4)
DFT (PBEsol) results for a relaxed structure of BaCSe2.

abc: 7.178 7.178 7.372
angles: 90.00 90.00 90.00
Space group I-42d (No. 122)
Symmetry-distinct sites (fractional):
Ba  0.000  0.000  0.000 (multiplicity 4)
C  0.000  0.000  0.500 (multiplicity 4)
Se  0.114  0.750  0.625 (multiplicity 8)

## Properties
- energy (eV/atom) = -4.779
- energy relative to the elements, uncorrected (meV per atom) = 94



(5)
DFT (PBEsol) results for a relaxed structure of ZnFe2Co.

abc: 5.638 5.638 5.638
angles: 90.00 90.00 90.00
Space group F-43m (No. 216)
Symmetry-distinct sites (fractional):
Zn  0.000  0.000  0.000 (multiplicity 4)
Fe  0.000  0.000  0.500 (multiplicity 4)
Fe  0.250  0.250  0.750 (multiplicity 4)
Co  0.250  0.250  0.250 (multiplicity 4)

## Properties
- energy (eV/atom) = -6.774



(6)
DFT (PBEsol) results for a relaxed structure of YTlCl2.

abc: 3.434 3.456 18.522
angles: 90.00 90.00 90.00
Space group Imm2 (No. 44)
Symmetry-distinct sites (fractional):
Y  0.000  0.000  0.000 (multiplicity 2)
Tl  0.000  0.500  0.236 (multiplicity 2)
Cl  0.000  0.000  0.570 (multiplicity 2)
Cl  0.000  0.500  0.894 (multiplicity 2)

## Properties
- energy (eV/atom) = -4.594
- energy relative to the elements, uncorrected (meV per atom) = -1227
- energy relative to the lowest polymorph listed for this composition (eV per atom) = 0.0000



(7)
DFT (PBEsol) results for a relaxed structure of CaTa2Pb.

abc: 6.926 6.926 6.926
angles: 90.00 90.00 90.00
Space group F-43m (No. 216)
Symmetry-distinct sites (fractional):
Ca  0.000  0.000  0.000 (multiplicity 4)
Ta  0.000  0.000  0.500 (multiplicity 4)
Ta  0.250  0.250  0.750 (multiplicity 4)
Pb  0.250  0.250  0.250 (multiplicity 4)

## Properties
- energy (eV/atom) = -7.284



(8)
DFT (PBEsol) results for a relaxed structure of ScMnCl2.

abc: 4.360 4.360 3.270
angles: 90.00 90.00 90.00
Space group P4/mmm (No. 123)
Symmetry-distinct sites (fractional):
Sc  0.000  0.000  0.000 (multiplicity 1)
Mn  0.500  0.500  0.000 (multiplicity 1)
Cl  0.000  0.500  0.500 (multiplicity 2)

## Properties
- energy (eV/atom) = -5.589
- energy relative to the elements, uncorrected (meV per atom) = -494
- energy relative to the lowest polymorph listed for this composition (eV per atom) = 0.1769